Computed, not measured: an optimized crystal structure of Y4Te3Se at the PBE level of DFT.

Cell lengths 4.284, 4.284, 14.369 Å; angles 81.43, 81.43, 60.00 degrees
Sites, in units of the cell vectors:
Y 0.632 0.632 0.103
Y 0.875 0.875 0.376
Y 0.368 0.368 0.897
Y 0.125 0.125 0.624
Te 0.747 0.747 0.759
Te 0.500 0.500 0.500
Te 0.253 0.253 0.241
Se 0.000 0.000 0.000

Calculated values
ΔE_f (raw) in meV/atom: -1427